# 1
Below is an optimized crystal structure of Zr6Te2P, with properties calculated at the GGA-PBEsol level.

POSCAR file:
```
Zr6Te2P
1.0
3.7112 0.0000 0.0000
0.0000 7.5634 0.0000
0.0000 -3.7817 6.5501
P Te Zr
1 2 6
Cartesian
0.0000 0.0000 0.0000
1.8556 3.7817 2.1834
1.8556 0.0000 4.3667
0.0000 1.4505 2.5124
0.0000 -2.3312 4.0377
0.0000 4.6623 0.0000
1.8556 2.8560 4.9467
1.8556 -0.9257 1.6034
1.8556 1.8515 0.0000
```

As for the symmetry: No. 189. The value obtained for the formation energy without anion corrections is -0.84 eV per atom. The total energy comes out at -74.9 eV/cell.


# 2
Below is an optimized crystal structure of ThP2, with properties calculated at the GGA-PBEsol level.

POSCAR file:
```
ThP2
1.0
-1.7209 -2.3634 -2.4354
2.4181 -5.5595 3.6865
-7.7197 0.1578 5.3016
P Th
8 4
Cartesian
-2.2632 -2.3632 -0.5662
-4.7593 -5.4019 7.1189
-2.4331 -5.1147 2.2241
-4.5895 -2.6503 4.3287
0.2594 -2.8819 1.1271
-7.2820 -4.8832 5.4256
-1.7723 -5.5954 5.1960
-5.2503 -2.1697 1.3567
-7.3623 -2.7399 3.4024
0.3398 -5.0252 3.1503
-4.6316 -5.5507 4.2007
-2.3909 -2.2143 2.3521
```

As for the symmetry: No. 62. The formation energy is -3.32 eV per formula unit. The total energy comes out at -92.1 eV/cell.


# 3
Below is an optimized crystal structure of Th3P4, with properties calculated at the GGA-PBEsol level.

POSCAR file:
```
Th3P4
1.0
7.4061 0.0000 0.0000
-2.4687 6.9826 0.0000
-2.4687 -3.4913 6.0471
Th P
6 8
Cartesian
-0.6172 1.7456 4.5353
4.3202 -0.4364 2.2677
0.6172 2.1821 0.7559
3.0859 3.0549 3.7794
1.8515 -1.3092 5.2912
-1.8515 5.2369 1.5118
6.2204 0.0000 0.0000
1.6296 0.6277 3.0235
-0.8391 -1.1867 3.9917
-3.3078 0.5589 5.0790
2.8639 4.0502 0.9681
-2.0735 2.3046 2.0554
0.3952 4.1190 3.0235
2.5174 0.0000 0.0000
```

As for the symmetry: No. 220. The formation energy is -10.14 eV per formula unit. The total energy comes out at -115.3 eV/cell.


# 4
Below is an optimized crystal structure of Ti3P, with properties calculated at the GGA-PBEsol level.

POSCAR file:
```
Ti3P
1.0
-2.5256 3.5195 2.3360
-8.4410 -4.0577 -3.0127
-0.2285 -5.5524 8.1185
Ti P
24 8
Cartesian
-9.1118 -7.7340 4.7174
-5.1398 -1.6462 5.0244
-7.4761 -2.4646 3.7314
-0.9785 0.1037 1.7024
-5.1553 -4.9214 4.1092
-3.2120 -3.4320 9.1510
-9.0881 -1.1189 -0.6873
-4.6191 -3.1490 2.0185
-7.0012 -4.8635 -0.1415
-8.0578 -5.1680 4.3596
-3.1863 -0.8544 3.1274
-1.7172 -4.6784 5.2925
-7.0373 -2.2395 0.8496
-8.7350 -3.9679 6.8030
-4.9369 1.3286 2.9294
-4.1089 -3.9193 6.5468
-9.1840 -4.0196 1.6829
-7.7652 -6.7359 2.1248
-1.0854 -2.6219 3.1484
-2.1922 -1.8187 5.9263
-7.3802 0.4362 1.3612
-6.5019 -5.9195 6.7018
-4.5121 -0.4234 0.5725
-6.1595 -3.2596 8.2491
-5.7404 -0.9778 2.6627
-7.2415 -2.6964 -1.5558
-2.5051 -5.4128 7.6578
-6.5319 -3.6118 5.7753
-2.3828 1.4520 3.3942
-6.7970 -4.4066 2.2639
-3.3210 -3.1850 4.1816
-10.2608 -5.5241 5.3873
```

As for the symmetry: No. 86. The formation energy is -3.63 eV per formula unit. The total energy comes out at -275.1 eV/cell.


# 5
Below is an optimized crystal structure of Ti3TlP, with properties calculated at the GGA-PBEsol level.

POSCAR file:
```
Ti3TlP
1.0
-1.4285 -0.5956 4.2501
2.5770 -3.7010 0.3475
3.4318 2.5311 1.5082
P Tl Ti
1 1 3
Cartesian
0.0000 0.0000 0.0000
2.2901 -0.8827 3.0529
1.2885 -1.8505 0.1737
1.7159 1.2656 0.7541
-0.7142 -0.2978 2.1250
```

As for the symmetry: No. 221. The formation energy is -1.55 eV per formula unit. The total energy comes out at -34.9 eV/cell.


# 6
Below is an optimized crystal structure of TiVP, with properties calculated at the GGA-PBEsol level.

POSCAR file:
```
TiVP
1.0
3.3302 0.0000 0.0000
0.0000 3.5802 0.0000
0.0000 0.0000 6.6581
P Ti V
2 2 2
Cartesian
0.0000 0.0000 5.0849
1.6651 1.7901 1.5732
0.0000 0.0000 0.9376
1.6651 1.7901 5.7205
0.0000 1.7901 3.3577
1.6651 0.0000 3.3004
```

As for the symmetry: No. 59. The formation energy is -3.30 eV per formula unit. The total energy comes out at -54.1 eV/cell.


# 7
Below is an optimized crystal structure of TiVP, with properties calculated at the GGA-PBEsol level.

POSCAR file:
```
TiVP
1.0
3.3032 0.0000 0.0000
0.0000 6.2988 0.0000
0.0000 0.0000 7.5862
P Ti V
4 4 4
Cartesian
2.4774 4.6975 4.8546
0.8258 1.6014 2.7315
2.4774 1.5481 6.5246
0.8258 4.7508 1.0616
2.4774 2.8818 1.2734
0.8258 3.4171 6.3128
2.4774 6.0312 2.5197
0.8258 0.2676 5.0665
0.8258 0.8383 0.4539
2.4774 5.4605 7.1323
0.8258 3.9877 3.3392
2.4774 2.3111 4.2469
```

As for the symmetry: No. 62. The formation energy is -3.47 eV per formula unit. The total energy comes out at -108.9 eV/cell.


# 8
Below is an optimized crystal structure of TiP4W3, with properties calculated at the GGA-PBEsol level.

POSCAR file:
```
TiP4W3
1.0
3.2266 0.0000 0.0000
0.0000 5.6783 -0.0033
0.0000 -0.0238 6.2726
P W Ti
4 3 1
Cartesian
1.6133 1.7554 5.8439
1.6133 4.5974 3.5303
0.0000 3.9009 0.4159
0.0000 1.0358 2.7566
1.6133 5.6346 1.1845
0.0000 2.8834 4.3174
0.0000 0.0310 5.0913
1.6133 2.7794 1.9375
```

As for the symmetry: No. 6. The formation energy is -5.18 eV per formula unit. The total energy comes out at -78.1 eV/cell.